This record from Alexandria describes a geometry-optimized TcSnBRu2 structure. The functional is PBE.

The structure in extended XYZ format:
```
5
Lattice="-0.031 -2.408 3.372 -2.709 -2.541 -1.839 3.164 -2.238 -1.570" Properties=species:S:1:pos:R:3 pbc="T T T"
Ru -1.354 -1.270 -0.919
Ru -0.015 -1.204 1.686
B 0.000 0.000 0.000
Sn 0.212 -3.593 -0.018
Tc 1.582 -1.119 -0.785
```

Electronic total energy in eV per atom: -7.920
Symmetry: P4/mmm, No. 123